(1)
The following is a meta-GGA SCAN calculation of BeIn4As at its PBEsol-relaxed geometry, from the Alexandria database.

```
data_BeIn4As
_chemical_formula_sum 'Be4 In16 As4'
_symmetry_space_group_name_H-M 'F -4 3 m'
_symmetry_Int_Tables_number 216
_symmetry_space_group_name_Hall 'F -4 2 3'
_cell_length_a 8.3596
_cell_length_b 8.3596
_cell_length_c 8.3596
_cell_angle_alpha 90.00
_cell_angle_beta 90.00
_cell_angle_gamma 90.00
loop_
_atom_site_label
_atom_site_type_symbol
_atom_site_fract_x
_atom_site_fract_y
_atom_site_fract_z
_atom_site_occupancy
Be1 Be 0.0000 0.0000 0.0000 1
In1 In 0.1250 0.1250 0.3750 1
As1 As 0.2500 0.2500 0.7500 1
```

Values from the calculation:
The energy of formation from the pure elements comes out at 0.756 eV/atom. Its total energy is -25.592 eV/atom. For the total magnetization, the calculation gives 0.00 μB per formula unit.



(2)
The following is a meta-GGA SCAN calculation of K2In2Au at its PBEsol-relaxed geometry, from the Alexandria database.

```
data_K2In2Au
_chemical_formula_sum 'K4 In4 Au2'
_symmetry_space_group_name_H-M 'P 4/m b m'
_symmetry_Int_Tables_number 127
_symmetry_space_group_name_Hall '-P 4 2ab'
_cell_length_a 7.2136
_cell_length_b 7.2136
_cell_length_c 5.8651
_cell_angle_alpha 90.00
_cell_angle_beta 90.00
_cell_angle_gamma 90.00
loop_
_atom_site_label
_atom_site_type_symbol
_atom_site_fract_x
_atom_site_fract_y
_atom_site_fract_z
_atom_site_occupancy
K1 K 0.1821 0.3179 0.0000 1
In1 In 0.1424 0.6424 0.5000 1
Au1 Au 0.0000 0.0000 0.5000 1
```

Values from the calculation:
The energy of formation from the pure elements comes out at -0.233 eV/atom. Its total energy is -30.751 eV/atom. For the total magnetization, the calculation gives 0.00 μB per formula unit.



(3)
The following is a meta-GGA SCAN calculation of Mg2FeOs at its PBEsol-relaxed geometry, from the Alexandria database.

```
data_Mg2FeOs
_chemical_formula_sum 'Mg8 Fe4 Os4'
_symmetry_space_group_name_H-M 'F -4 3 m'
_symmetry_Int_Tables_number 216
_symmetry_space_group_name_Hall 'F -4 2 3'
_cell_length_a 6.1654
_cell_length_b 6.1654
_cell_length_c 6.1654
_cell_angle_alpha 90.00
_cell_angle_beta 90.00
_cell_angle_gamma 90.00
loop_
_atom_site_label
_atom_site_type_symbol
_atom_site_fract_x
_atom_site_fract_y
_atom_site_fract_z
_atom_site_occupancy
Mg1 Mg 0.0000 0.0000 0.0000 1
Mg2 Mg 0.2500 0.2500 0.2500 1
Fe1 Fe 0.2500 0.2500 0.7500 1
Os1 Os 0.0000 0.0000 0.5000 1
```

Values from the calculation:
The energy of formation from the pure elements comes out at 0.134 eV/atom. The value obtained for the energy above the most stable polymorph in this dataset is 0 meV/atom. Its total energy is -24.855 eV/atom. For the total magnetization, the calculation gives 3.44 μB per formula unit.



(4)
The following is a meta-GGA SCAN calculation of MnPbAu2 at its PBEsol-relaxed geometry, from the Alexandria database.

```
data_MnPbAu2
_chemical_formula_sum 'Mn1 Pb1 Au2'
_symmetry_space_group_name_H-M 'P 4/m m m'
_symmetry_Int_Tables_number 123
_symmetry_space_group_name_Hall '-P 4 2'
_cell_length_a 3.3191
_cell_length_b 3.3191
_cell_length_c 6.9216
_cell_angle_alpha 90.00
_cell_angle_beta 90.00
_cell_angle_gamma 90.00
loop_
_atom_site_label
_atom_site_type_symbol
_atom_site_fract_x
_atom_site_fract_y
_atom_site_fract_z
_atom_site_occupancy
Mn1 Mn 0.0000 0.0000 0.0000 1
Pb1 Pb 0.0000 0.0000 0.5000 1
Au1 Au 0.5000 0.5000 0.2042 1
```

Values from the calculation:
The energy of formation from the pure elements comes out at -0.235 eV/atom. Its total energy is -58.323 eV/atom. For the total magnetization, the calculation gives 4.28 μB per formula unit.



(5)
The following is a meta-GGA SCAN calculation of YHgSe3 at its PBEsol-relaxed geometry, from the Alexandria database.

```
data_YHgSe3
_chemical_formula_sum 'Y1 Hg1 Se3'
_symmetry_space_group_name_H-M 'P m -3 m'
_symmetry_Int_Tables_number 221
_symmetry_space_group_name_Hall '-P 4 2 3'
_cell_length_a 5.0962
_cell_length_b 5.0962
_cell_length_c 5.0962
_cell_angle_alpha 90.00
_cell_angle_beta 90.00
_cell_angle_gamma 90.00
loop_
_atom_site_label
_atom_site_type_symbol
_atom_site_fract_x
_atom_site_fract_y
_atom_site_fract_z
_atom_site_occupancy
Y1 Y 0.0000 0.0000 0.0000 1
Hg1 Hg 0.5000 0.5000 0.5000 1
Se1 Se 0.0000 0.5000 0.5000 1
```

Values from the calculation:
As for the formation energy from raw total energies: -0.27 eV/atom. Its total energy is -31.515 eV/atom. For the total magnetization, the calculation gives 0.00 μB per formula unit.



(6)
The following is a meta-GGA SCAN calculation of CuIrSe2 at its PBEsol-relaxed geometry, from the Alexandria database.

```
data_CuIrSe2
_chemical_formula_sum 'Cu2 Ir2 Se4'
_symmetry_space_group_name_H-M 'I m m m'
_symmetry_Int_Tables_number 71
_symmetry_space_group_name_Hall '-I 2 2'
_cell_length_a 3.6309
_cell_length_b 3.8050
_cell_length_c 10.8986
_cell_angle_alpha 90.00
_cell_angle_beta 90.00
_cell_angle_gamma 90.00
loop_
_atom_site_label
_atom_site_type_symbol
_atom_site_fract_x
_atom_site_fract_y
_atom_site_fract_z
_atom_site_occupancy
Cu1 Cu 0.0000 0.0000 0.0000 1
Ir1 Ir 0.0000 0.0000 0.5000 1
Se1 Se 0.0000 0.5000 0.1511 1
```

Values from the calculation:
As for the formation energy from raw total energies: -0.03 eV/atom. Its total energy is -31.643 eV/atom. For the total magnetization, the calculation gives 0.00 μB per formula unit.



(7)
The following is a meta-GGA SCAN calculation of K2PW at its PBEsol-relaxed geometry, from the Alexandria database.

```
data_K2PW
_chemical_formula_sum 'K2 P1 W1'
_symmetry_space_group_name_H-M 'P 4/m m m'
_symmetry_Int_Tables_number 123
_symmetry_space_group_name_Hall '-P 4 2'
_cell_length_a 3.7561
_cell_length_b 3.7561
_cell_length_c 5.5908
_cell_angle_alpha 90.00
_cell_angle_beta 90.00
_cell_angle_gamma 90.00
loop_
_atom_site_label
_atom_site_type_symbol
_atom_site_fract_x
_atom_site_fract_y
_atom_site_fract_z
_atom_site_occupancy
K1 K 0.0000 0.5000 0.0000 1
P1 P 0.0000 0.0000 0.5000 1
W1 W 0.5000 0.5000 0.5000 1
```

Values from the calculation:
The energy of formation from the pure elements comes out at 1.137 eV/atom. The value obtained for the energy above the most stable polymorph in this dataset is 196 meV/atom. Its total energy is -23.049 eV/atom. For the total magnetization, the calculation gives 0.01 μB per formula unit.



(8)
The following is a meta-GGA SCAN calculation of Ag2Sb at its PBEsol-relaxed geometry, from the Alexandria database.

```
data_Ag2Sb
_chemical_formula_sum 'Ag8 Sb4'
_symmetry_space_group_name_H-M 'I 41/a m d'
_symmetry_Int_Tables_number 141
_cell_length_a 3.5121
_cell_length_b 3.5121
_cell_length_c 20.6811
_cell_angle_alpha 90.00
_cell_angle_beta 90.00
_cell_angle_gamma 90.00
loop_
_symmetry_equiv_pos_as_xyz
'x,y,z'
'-x,-y,-z'
'-y+1/4,x+3/4,z+1/4'
'y+1/4,-x+3/4,-z+1/4'
'-x+1/2,-y,z+1/2'
'x+1/2,y,-z+1/2'
'y+1/4,-x+1/4,z+3/4'
'-y+1/4,x+1/4,-z+3/4'
'x,-y,-z'
'-x,y,z'
'-y+1/4,-x+1/4,-z+3/4'
'y+1/4,x+1/4,z+3/4'
'-x+1/2,y,-z+1/2'
'x+1/2,-y,z+1/2'
'y+1/4,x+3/4,-z+1/4'
'-y+1/4,-x+3/4,z+1/4'
'x+1/2,y+1/2,z+1/2'
'-x+1/2,-y+1/2,-z+1/2'
'-y+3/4,x+1/4,z+3/4'
'y+3/4,-x+1/4,-z+3/4'
'-x,-y+1/2,z'
'x,y+1/2,-z'
'y+3/4,-x+3/4,z+1/4'
'-y+3/4,x+3/4,-z+1/4'
'x+1/2,-y+1/2,-z+1/2'
'-x+1/2,y+1/2,z+1/2'
'-y+3/4,-x+3/4,-z+1/4'
'y+3/4,x+3/4,z+1/4'
'-x,y+1/2,-z'
'x,-y+1/2,z'
'y+3/4,x+1/4,-z+3/4'
'-y+3/4,-x+1/4,z+3/4'
loop_
_atom_site_label
_atom_site_type_symbol
_atom_site_fract_x
_atom_site_fract_y
_atom_site_fract_z
_atom_site_occupancy
Ag1 Ag 0.0000 0.2500 0.3006 1
Sb1 Sb 0.0000 0.2500 0.8750 1
```

Values from the calculation:
The value obtained for the energy above the most stable polymorph in this dataset is 195 meV/atom. As for the formation energy from raw total energies: 0.27 eV/atom. Its total energy is -33.063 eV/atom. For the total magnetization, the calculation gives 0.00 μB per formula unit.



total magnetization of number 6 (CuIrSe2)?
0.00 μB per formula unit